Record 1
The following is a DFT calculation (PBE) of a geometry-optimized K2MnCo structure.

Structure (extended XYZ):
```
4
Lattice="6.305 0.092 0.000 -3.640 5.149 0.000 0.000 0.000 3.190" Properties=species:S:1:pos:R:3 pbc="T T T"
K 1.333 2.621 0.000
Mn 3.152 0.046 1.595
K 0.000 0.000 0.000
Co -1.820 2.575 1.595
```

Computed properties:
Formation enthalpy at 0 K, meV per atom: 1236
Final energy, eV/atom: -3.382
Calculated volume, Å³ per cell: 104.7
Symmetry: No. 65
Relative energy among the computed polymorphs, kJ/mol of atoms: 55.0
Total magnetization, μB/cell: 5.547

Record 2
The following is a DFT calculation (PBE) of a geometry-optimized K2MnCo structure.

Structure (extended XYZ):
```
4
Lattice="3.369 0.000 0.000 0.000 3.369 0.000 0.000 0.000 10.125" Properties=species:S:1:pos:R:3 pbc="T T T"
Mn 0.000 0.000 6.047
Co 1.684 1.684 6.647
K 0.000 0.000 9.265
K 1.684 1.684 3.353
```

Computed properties:
Formation enthalpy at 0 K, meV per atom: 669
Final energy, eV/atom: -3.949
Calculated volume, Å³ per cell: 114.9
Symmetry: No. 99
Relative energy among the computed polymorphs, kJ/mol of atoms: 0.3
Total magnetization, μB/cell: 4.770

Record 3
The following is a DFT calculation (PBE) of a geometry-optimized K2MnCo structure.

Structure (extended XYZ):
```
4
Lattice="6.324 0.033 0.000 3.357 5.360 0.000 -4.841 -2.697 3.049" Properties=species:S:1:pos:R:3 pbc="T T T"
K 0.000 0.000 0.000
Co 3.162 0.016 1.524
Mn 1.679 2.680 1.524
K 4.841 2.697 0.000
```

Computed properties:
Formation enthalpy at 0 K, meV per atom: 1223
Final energy, eV/atom: -3.395
Calculated volume, Å³ per cell: 103.0
Symmetry: No. 139
Relative energy among the computed polymorphs, kJ/mol of atoms: 53.8
Total magnetization, μB/cell: 5.523

Record 4
The following is a DFT calculation (PBE) of a geometry-optimized K2MnCo structure.

Structure (extended XYZ):
```
4
Lattice="-3.919 -9.227 2.641 0.625 -9.277 4.585 0.320 10.211 -1.761" Properties=species:S:1:pos:R:3 pbc="T T T"
K -2.950 -16.571 6.471
Mn -0.351 -4.159 3.218
Co -2.623 -4.134 2.246
K -1.991 -11.185 4.368
```

Computed properties:
Formation enthalpy at 0 K, meV per atom: 666
Final energy, eV/atom: -3.952
Calculated volume, Å³ per cell: 120.4
Symmetry: No. 71
Relative energy among the computed polymorphs, kJ/mol of atoms: 0.0
Total magnetization, μB/cell: 4.984

Record 5
The following is a DFT calculation (PBE) of a geometry-optimized K2MnCo structure.

Structure (extended XYZ):
```
4
Lattice="5.605 0.000 0.000 0.000 3.211 0.319 0.000 2.062 6.070" Properties=species:S:1:pos:R:3 pbc="T T T"
K 0.000 2.928 3.281
K 0.000 4.982 6.303
Mn 2.803 1.318 1.597
Co 2.803 3.955 4.792
```

Computed properties:
Formation enthalpy at 0 K, meV per atom: 1235
Final energy, eV/atom: -3.382
Calculated volume, Å³ per cell: 105.6
Symmetry: No. 10
Relative energy among the computed polymorphs, kJ/mol of atoms: 55.0
Total magnetization, μB/cell: 5.736

Record 6
The following is a DFT calculation (PBE) of a geometry-optimized KMn2Co structure.

Structure (extended XYZ):
```
4
Lattice="-3.120 -1.687 2.822 -0.772 -3.351 2.953 2.311 3.707 5.687" Properties=species:S:1:pos:R:3 pbc="T T T"
Mn -1.286 -1.153 8.430
Co -0.434 -0.112 6.373
Mn 2.005 3.234 5.155
K -0.346 -0.259 2.922
```

Computed properties:
Formation enthalpy at 0 K, meV per atom: 758
Final energy, eV/atom: -5.878
Calculated volume, Å³ per cell: 88.5
Symmetry: No. 8
Relative energy among the computed polymorphs, kJ/mol of atoms: 17.7
Total magnetization, μB/cell: 9.183

Record 7
The following is a DFT calculation (PBE) of a geometry-optimized K2MnCo structure.

Structure (extended XYZ):
```
8
Lattice="-8.963 -4.483 -7.146 8.205 -2.213 -8.904 -0.036 -5.318 -7.219" Properties=species:S:1:pos:R:3 pbc="T T T"
K -3.283 -6.915 -14.069
K -6.266 -5.249 -8.724
Co 0.000 0.000 0.000
Co -4.689 -6.574 -11.195
Mn 3.895 -5.440 -12.074
K -1.850 -6.085 -9.763
Mn -0.379 -3.348 -8.025
K -7.357 -8.049 -12.224
```

Computed properties:
Formation enthalpy at 0 K, meV per atom: 967
Final energy, eV/atom: -3.650
Calculated volume, Å³ per cell: 326.6
Symmetry: No. 122
Relative energy among the computed polymorphs, kJ/mol of atoms: 29.1
Total magnetization, μB/cell: 9.235

Record 8
The following is a DFT calculation (PBE) of a geometry-optimized KMnCo2 structure.

Structure (extended XYZ):
```
4
Lattice="2.930 0.001 0.000 -0.001 2.930 0.000 0.000 0.000 7.779" Properties=species:S:1:pos:R:3 pbc="T T T"
Mn 1.465 1.465 5.834
Co 0.000 0.000 7.064
Co 0.000 0.000 4.605
K 1.465 1.465 1.945
```

Computed properties:
Formation enthalpy at 0 K, meV per atom: 680
Final energy, eV/atom: -5.439
Calculated volume, Å³ per cell: 66.8
Symmetry: No. 123
Relative energy among the computed polymorphs, kJ/mol of atoms: 5.1
Total magnetization, μB/cell: 4.400